LiNdErIr after structural relaxation, computed with PBE.

Cell lengths 7.046, 7.046, 7.046 Å; angles 90.00, 90.00, 90.00 degrees
Space group F-43m (No. 216)
Symmetry-distinct sites (fractional):
Li: 0.000 0.000 0.000 (multiplicity 4)
Nd: 0.250 0.250 0.250 (multiplicity 4)
Er: 0.250 0.250 0.750 (multiplicity 4)
Ir: 0.000 0.000 0.500 (multiplicity 4)

Energy of formation from the pure elements = -0.49 eV/atom
M_tot = 0.00 μB per cell